Entry 1:
DFT (PBE-GGA) results for Sc2Ta4Bi3C3 after structural relaxation.

extended XYZ file:
```
24
Lattice="5.105 -2.971 0.000 5.105 2.971 0.000 -3.434 0.000 13.754" Properties=species:S:1:pos:R:3 pbc="T T T"
Sc 2.580 2.501 8.077
Sc 2.479 2.501 12.553
Sc 4.297 -2.501 1.201
Sc 4.196 -2.501 5.676
Ta 2.517 0.469 1.019
Ta 2.533 0.539 5.858
Ta 0.800 -0.469 7.896
Ta 0.816 -0.539 12.735
Ta 5.960 0.539 1.018
Ta 5.976 0.469 5.858
Ta 4.243 -0.539 7.895
Ta 4.259 -0.469 12.735
Bi -0.819 0.525 10.340
Bi 0.898 -0.525 3.463
Bi 2.530 0.441 10.315
Bi 4.247 -0.441 3.438
Bi 5.878 0.525 10.291
Bi 7.595 -0.525 3.414
C 0.836 1.485 6.877
C 4.234 1.449 0.000
C 4.259 1.449 6.876
C 2.552 -1.485 0.000
C 2.517 -1.449 6.877
C 2.542 -1.449 13.753
```

Calculated values
Spin magnetization: 0.000 μB per atom
VASP energy: -8.67 eV per atom

---

Entry 2:
DFT (PBE-GGA) results for Sc4Bi3W2C3 after structural relaxation.

extended XYZ file:
```
24
Lattice="5.074 -2.944 0.000 5.074 2.944 0.000 -3.113 0.000 14.100" Properties=species:S:1:pos:R:3 pbc="T T T"
Sc 0.852 0.424 1.189
Sc 0.911 0.524 5.860
Sc -0.704 -0.424 8.239
Sc -0.645 -0.524 12.910
Sc 7.681 0.524 1.190
Sc 7.740 0.424 5.861
Sc 6.125 -0.524 8.240
Sc 6.184 -0.424 12.911
Bi 4.296 2.341 3.525
Bi 1.093 0.458 10.563
Bi 2.650 -0.458 3.513
Bi 4.386 0.458 10.587
Bi 5.943 -0.458 3.537
Bi 2.740 -2.341 10.575
W 4.143 0.536 0.964
W 4.450 0.536 6.086
W 2.586 -0.536 8.014
W 2.893 -0.536 13.136
C 2.537 1.472 0.000
C 2.732 1.366 7.047
C 5.860 1.366 0.003
C 0.981 -1.472 7.050
C 1.176 -1.366 14.097
C 4.304 -1.366 7.053
```

Calculated values
Spin magnetization: 0.000 μB per atom
VASP energy: -7.94 eV per atom

---

Entry 3:
DFT (PBE-GGA) results for Zr4Sc2Bi3C3 after structural relaxation.

extended XYZ file:
```
24
Lattice="5.181 -2.991 0.000 5.181 2.991 0.000 -3.461 0.000 14.717" Properties=species:S:1:pos:R:3 pbc="T T T"
Zr 0.863 0.523 1.194
Zr 0.881 0.487 6.164
Zr -0.867 -0.523 8.553
Zr -0.849 -0.487 13.522
Zr 7.750 0.487 1.195
Zr 7.769 0.523 6.164
Zr 6.020 -0.487 8.553
Zr 6.038 -0.523 13.522
Sc 4.342 0.486 1.196
Sc 4.290 0.486 6.162
Sc 2.612 -0.486 8.554
Sc 2.559 -0.486 13.521
Bi 4.316 2.492 3.679
Bi 0.872 0.481 11.030
Bi 2.603 -0.481 3.672
Bi 4.299 0.481 11.045
Bi 6.029 -0.481 3.686
Bi 2.585 -2.492 11.037
C 2.591 1.496 0.000
C 2.574 1.516 7.358
C 6.058 1.516 0.000
C 0.860 -1.496 7.358
C 4.305 -1.516 0.000
C 4.327 -1.516 7.358
```

Calculated values
Spin magnetization: 0.000 μB per atom
VASP energy: -7.89 eV per atom

---

Entry 4:
DFT (PBE-GGA) results for Ta4SnBiC2 after structural relaxation.

extended XYZ file:
```
8
Lattice="3.334 0.000 0.000 -1.667 2.887 0.000 0.000 0.000 13.612" Properties=species:S:1:pos:R:3 pbc="T T T"
Ta 0.000 0.000 2.278
Ta 0.000 0.000 11.334
Ta 0.000 1.925 4.461
Ta 0.000 1.925 9.152
Sn 0.000 1.925 0.000
Bi 0.000 0.000 6.806
C 1.667 0.962 3.390
C 1.667 0.962 10.222
```

Calculated values
Spin magnetization: 0.001 μB per atom
VASP energy: -9.45 eV per atom

---

Entry 5:
DFT (PBE-GGA) results for SnBiW4C2 after structural relaxation.

extended XYZ file:
```
8
Lattice="3.216 0.000 0.000 -1.608 2.785 0.000 0.000 0.000 13.954" Properties=species:S:1:pos:R:3 pbc="T T T"
Sn 0.000 0.000 0.000
Bi 1.608 0.928 6.977
W 0.000 0.000 4.434
W 0.000 0.000 9.520
W 1.608 0.928 2.257
W 1.608 0.928 11.697
C 0.000 1.857 3.391
C 0.000 1.857 10.563
```

Calculated values
Spin magnetization: 0.000 μB per atom
VASP energy: -9.36 eV per atom

---

Entry 6:
DFT (PBE-GGA) results for Y2Ta4Bi3C3 after structural relaxation.

extended XYZ file:
```
24
Lattice="5.205 -3.031 0.000 5.205 3.031 0.000 -3.520 0.000 14.099" Properties=species:S:1:pos:R:3 pbc="T T T"
Y 2.638 2.563 8.421
Y 2.492 2.563 12.728
Y 4.398 -2.563 1.371
Y 4.252 -2.563 5.679
Ta 2.557 0.463 0.999
Ta 2.569 0.564 6.050
Ta 0.798 -0.463 8.049
Ta 0.809 -0.564 13.099
Ta 6.081 0.564 1.000
Ta 6.092 0.463 6.050
Ta 4.321 -0.564 8.049
Ta 4.333 -0.463 13.100
Bi -0.697 0.628 10.613
Bi 1.063 -0.628 3.564
Bi 2.565 0.294 10.574
Bi 4.325 -0.294 3.525
Bi 5.827 0.628 10.535
Bi 7.587 -0.628 3.486
C 0.843 1.516 7.050
C 4.284 1.428 0.002
C 4.365 1.428 7.048
C 2.602 -1.516 0.000
C 2.525 -1.428 7.051
C 2.606 -1.428 14.097
```

Calculated values
Spin magnetization: 0.000 μB per atom
VASP energy: -8.64 eV per atom

---

Entry 7:
DFT (PBE-GGA) results for Zr4Ta2Bi3C3 after structural relaxation.

extended XYZ file:
```
24
Lattice="5.199 -3.007 0.000 5.199 3.007 0.000 -3.460 0.000 14.011" Properties=species:S:1:pos:R:3 pbc="T T T"
Zr 0.869 0.462 1.188
Zr 0.834 0.519 5.818
Zr -0.861 -0.462 8.194
Zr -0.896 -0.519 12.823
Zr 7.833 0.519 1.187
Zr 7.798 0.462 5.817
Zr 6.103 -0.519 8.193
Zr 6.068 -0.462 12.822
Ta 4.293 0.525 1.024
Ta 4.375 0.525 5.981
Ta 2.563 -0.525 8.030
Ta 2.645 -0.525 12.986
Bi 4.334 2.431 3.503
Bi 0.929 0.467 10.527
Bi 2.658 -0.467 3.522
Bi 4.279 0.467 10.489
Bi 6.009 -0.467 3.484
Bi 2.604 -2.431 10.508
C 2.599 1.504 0.000
C 2.642 1.434 7.005
C 6.026 1.434 0.000
C 0.870 -1.504 7.005
C 4.372 -1.434 0.000
C 4.296 -1.434 7.005
```

Calculated values
Spin magnetization: 0.000 μB per atom
VASP energy: -8.62 eV per atom

---

Entry 8:
DFT (PBE-GGA) results for Zr2Ta4Bi3C3 after structural relaxation.

extended XYZ file:
```
24
Lattice="5.173 -2.991 0.000 5.173 2.991 0.000 -3.428 0.000 13.610" Properties=species:S:1:pos:R:3 pbc="T T T"
Zr 2.625 2.507 7.997
Zr 2.578 2.507 12.419
Zr 4.339 -2.507 1.192
Zr 4.293 -2.507 5.614
Ta 2.558 0.479 1.017
Ta 2.600 0.535 5.788
Ta 0.843 -0.479 7.822
Ta 0.886 -0.535 12.593
Ta 6.032 0.535 1.017
Ta 6.074 0.479 5.788
Ta 4.318 -0.535 7.823
Ta 4.360 -0.479 12.594
Bi -0.772 0.541 10.217
Bi 0.942 -0.541 3.412
Bi 2.602 0.418 10.208
Bi 4.316 -0.418 3.403
Bi 5.975 0.541 10.198
Bi 7.690 -0.541 3.393
C 0.872 1.496 6.805
C 4.284 1.453 0.000
C 4.348 1.453 6.805
C 2.587 -1.496 0.000
C 2.570 -1.453 6.805
C 6.062 -1.453 0.000
```

Calculated values
Spin magnetization: 0.000 μB per atom
VASP energy: -9.01 eV per atom

---

Entry 9:
DFT (PBE-GGA) results for Tb4Bi2C after structural relaxation.

extended XYZ file:
```
7
Lattice="-2.440 2.440 8.031 2.440 -2.440 8.031 2.440 2.440 -8.031" Properties=species:S:1:pos:R:3 pbc="T T T"
Tb 2.440 0.000 0.000
Tb 0.000 0.000 2.457
Tb 0.000 2.440 0.000
Tb 0.000 0.000 13.605
Bi 0.000 0.000 5.714
Bi 0.000 0.000 10.348
C 0.000 0.000 0.000
```

Calculated values
Spin magnetization: 0.002 μB per atom
VASP energy: -5.77 eV per atom

---

Entry 10:
DFT (PBE-GGA) results for Tm3BiC after structural relaxation.

extended XYZ file:
```
10
Lattice="2.388 -10.699 0.000 2.388 10.699 0.000 0.000 0.000 4.790" Properties=species:S:1:pos:R:3 pbc="T T T"
Tm 2.388 9.545 3.592
Tm 2.388 6.914 1.197
Tm 2.388 1.390 3.592
Tm 2.388 -1.390 1.197
Tm 2.388 -6.914 3.592
Tm 2.388 -9.545 1.197
Bi 2.388 3.676 1.197
Bi 2.388 -3.676 3.592
C 2.388 9.216 1.197
C 2.388 -9.216 3.592
```

Calculated values
Spin magnetization: 0.000 μB per atom
VASP energy: -5.91 eV per atom

---

Entry 11:
DFT (PBE-GGA) results for BiW2C after structural relaxation.

extended XYZ file:
```
8
Lattice="1.603 -2.804 0.000 1.603 2.804 0.000 -0.458 0.000 14.508" Properties=species:S:1:pos:R:3 pbc="T T T"
Bi 1.259 2.068 10.881
Bi 1.488 -2.068 3.627
W 0.569 0.461 8.335
W 0.798 -0.461 1.081
W 1.950 0.461 13.428
W 2.179 -0.461 6.173
C 0.801 1.402 0.000
C 0.572 -1.402 7.254
```

Calculated values
Spin magnetization: 0.000 μB per atom
VASP energy: -9.28 eV per atom

---

Entry 12:
DFT (PBE-GGA) results for BiW4C3 after structural relaxation.

extended XYZ file:
```
16
Lattice="3.185 0.000 0.000 -1.593 2.759 0.000 0.000 0.000 24.743" Properties=species:S:1:pos:R:3 pbc="T T T"
Bi 0.000 1.839 6.186
Bi 1.593 0.920 18.557
W 0.000 0.000 3.519
W 0.000 0.000 8.852
W 0.000 0.000 15.891
W 0.000 0.000 21.224
W 0.000 1.839 1.319
W 0.000 1.839 11.053
W 1.593 0.920 13.690
W 1.593 0.920 23.424
C 0.000 0.000 0.000
C 0.000 0.000 12.372
C 0.000 1.839 14.950
C 0.000 1.839 22.165
C 1.593 0.920 2.579
C 1.593 0.920 9.793
```

Calculated values
Spin magnetization: 0.000 μB per atom
VASP energy: -10.05 eV per atom

---

Q: What is the spin magnetization in the tenth record?
A: 0.000 μB per atom

---

Q: Which value of VASP energy does entry 4 give?
A: -9.45 eV per atom